Entry from Alexandria: a relaxed Pu8OsPd5 crystal (PBE).

Computed properties:
The density of states at the Fermi level comes out at 64.6 states/eV/cell. As for the volume: 23.25 Å³/atom. For the total energy, the calculation gives -11.111 eV/atom. Its space group is I-4.

```
Pu8OsPd5
1.0
-4.3237 4.3237 4.3524
4.3237 -4.3237 4.3524
4.3237 4.3237 -4.3524
Pu Os Pd
8 1 5
Direct
0.0314 0.1369 0.7585
0.2430 0.4767 0.6140
0.3710 0.7570 0.2337
0.3784 0.2729 0.2415
0.5233 0.1373 0.7663
0.7271 0.9686 0.1055
0.8631 0.6216 0.8945
0.8627 0.6290 0.3860
0.5000 0.5000 0.0000
0.0000 0.3729 0.1369
0.1370 0.0000 0.3729
0.2359 0.8630 0.8631
0.6271 0.7641 0.6271
0.7500 0.2500 0.5000
```